First-principles (PBE-GGA) data for an optimized crystal structure of NaAc4Tl3, as listed in the Alexandria database.

Results
For the density of states at the Fermi level, the calculation gives 0.990 states/eV per atom. The value obtained for the total energy is -53.460 eV/cell. Its formation energy is -0.23 eV/atom.

a = 17.7575 Å, b = 5.8487 Å, c = 5.8488 Å
α = 90.00°, β = 109.18°, γ = 90.00°
Closest atoms and distances in Å follow each position.
Positions (direct):
Na (0.0000, 0.0000, 0.0000)  8 Ac 3.64-3.65
Na (0.5000, 0.5000, 0.0000)  8 Ac 3.64-3.65
Ac (0.1298, 0.0000, 0.6301)  6 Tl 3.53-3.65, 2 Na 3.64-3.65
Ac (0.1298, 0.5000, 0.1298)  6 Tl 3.53-3.65, 2 Na 3.65
Ac (0.3702, 0.0000, 0.8702)  6 Tl 3.53-3.65, 2 Na 3.65
Ac (0.3702, 0.5000, 0.3699)  6 Tl 3.53-3.65, 2 Na 3.64-3.65
Ac (0.6298, 0.0000, 0.1298)  6 Tl 3.53-3.65, 2 Na 3.65
Ac (0.6298, 0.5000, 0.6301)  6 Tl 3.53-3.65, 2 Na 3.64-3.65
Ac (0.8702, 0.0000, 0.3699)  6 Tl 3.53-3.65, 2 Na 3.64-3.65
Ac (0.8702, 0.5000, 0.8702)  6 Tl 3.53-3.65, 2 Na 3.65
Tl (0.0000, 0.5000, 0.5000)  8 Ac 3.64-3.65
Tl (0.2475, 0.0000, 0.2473)  8 Ac 3.53-3.58
Tl (0.2525, 0.5000, 0.7527)  8 Ac 3.53-3.58
Tl (0.5000, 0.0000, 0.5000)  8 Ac 3.64-3.65
Tl (0.7475, 0.5000, 0.2473)  8 Ac 3.53-3.58
Tl (0.7525, 0.0000, 0.7527)  8 Ac 3.53-3.58